Entry 1:
# K2ReSbO, relaxed, DFT PBE
data_K2ReSbO
_cell_length_a 6.719
_cell_length_b 6.719
_cell_length_c 5.050
_cell_angle_alpha 90.00
_cell_angle_beta 90.00
_cell_angle_gamma 90.00
_space_group_name_H-M_alt 'P 4/m m m'
_space_group_IT_number 123
_space_group_name_Hall '-P 4 2'
loop_
_atom_site_label
_atom_site_fract_x
_atom_site_fract_y
_atom_site_fract_z
_atom_site_occupancy
K1 0.000 0.500 0.000 1
Re1 0.000 0.000 0.500 1
Sb1 0.000 0.000 0.000 1
O1 0.500 0.500 0.500 1
# Total energy in eV per atom: -3.79
# Raw formation energy in eV per atom: 0.95



Entry 2:
# KScRe2O8, relaxed, DFT PBE
data_KScRe2O8
_cell_length_a 5.8719
_cell_length_b 5.8719
_cell_length_c 7.3830
_cell_angle_alpha 90.00
_cell_angle_beta 90.00
_cell_angle_gamma 120.00
_space_group_name_H-M_alt 'P -3 m 1'
_space_group_IT_number 164
_space_group_name_Hall '-P 3 2"'
loop_
_atom_site_label
_atom_site_fract_x
_atom_site_fract_y
_atom_site_fract_z
_atom_site_occupancy
K1 0.0000 0.0000 0.0000 1
Sc1 0.0000 0.0000 0.5000 1
Re1 0.3333 0.6667 0.7526 1
O1 0.1668 0.3335 0.6693 1
O2 0.3333 0.6667 0.9915 1
# Total energy in eV per atom: -7.98
# Raw formation energy in eV per atom: -1.98



Entry 3:
# K3ScRe2O9, relaxed, DFT PBE
data_K3ScRe2O9
_cell_length_a 5.6575
_cell_length_b 5.6575
_cell_length_c 6.9486
_cell_angle_alpha 90.00
_cell_angle_beta 90.00
_cell_angle_gamma 120.00
_space_group_name_H-M_alt 'P -3 m 1'
_space_group_IT_number 164
_space_group_name_Hall '-P 3 2"'
loop_
_atom_site_label
_atom_site_fract_x
_atom_site_fract_y
_atom_site_fract_z
_atom_site_occupancy
K1 0.0000 0.0000 0.0000 1
K2 0.3333 0.6667 0.6643 1
Sc1 0.0000 0.0000 0.5000 1
Re1 0.3333 0.6667 0.1665 1
O1 0.0000 0.5000 0.0000 1
O2 0.1744 0.3488 0.3196 1
# Total energy in eV per atom: -7.32
# Raw formation energy in eV per atom: -2.04



Entry 4:
# K2ReSiO6, relaxed, DFT PBE
data_K2ReSiO6
_cell_length_a 7.581
_cell_length_b 7.581
_cell_length_c 7.581
_cell_angle_alpha 90.00
_cell_angle_beta 90.00
_cell_angle_gamma 90.00
_space_group_name_H-M_alt 'F m -3 m'
_space_group_IT_number 225
_space_group_name_Hall '-F 4 2 3'
loop_
_atom_site_label
_atom_site_fract_x
_atom_site_fract_y
_atom_site_fract_z
_atom_site_occupancy
K1 0.250 0.250 0.250 1
Re1 0.000 0.000 0.000 1
Si1 0.000 0.000 0.500 1
O1 0.000 0.000 0.258 1
# Total energy in eV per atom: -6.79
# Raw formation energy in eV per atom: -1.81



Entry 5:
# K2SmReO6, relaxed, DFT PBE
data_K2SmReO6
_cell_length_a 8.460
_cell_length_b 8.460
_cell_length_c 8.460
_cell_angle_alpha 90.00
_cell_angle_beta 90.00
_cell_angle_gamma 90.00
_space_group_name_H-M_alt 'F m -3 m'
_space_group_IT_number 225
_space_group_name_Hall '-F 4 2 3'
loop_
_atom_site_label
_atom_site_fract_x
_atom_site_fract_y
_atom_site_fract_z
_atom_site_occupancy
K1 0.250 0.250 0.250 1
Sm1 0.000 0.000 0.000 1
Re1 0.000 0.000 0.500 1
O1 0.000 0.000 0.275 1
# Total energy in eV per atom: -7.11
# Raw formation energy in eV per atom: -2.20



Entry 6:
# K2SmRe3O12, relaxed, DFT PBE
data_K2SmRe3O12
_cell_length_a 7.4312
_cell_length_b 7.4312
_cell_length_c 18.5953
_cell_angle_alpha 90.00
_cell_angle_beta 90.00
_cell_angle_gamma 120.00
_space_group_name_H-M_alt 'R -3 m'
_space_group_IT_number 166
_space_group_name_Hall '-R 3 2"'
loop_
_atom_site_label
_atom_site_fract_x
_atom_site_fract_y
_atom_site_fract_z
_atom_site_occupancy
K1 0.0000 0.0000 0.1336 1
Sm1 0.0000 0.0000 0.5000 1
Re1 0.0000 0.5000 0.0000 1
O1 0.0283 0.5141 0.0996 1
O2 0.0864 0.5432 0.3406 1
# Total energy in eV per atom: -7.65
# Raw formation energy in eV per atom: -1.89



> What is the formula in the first record?

K2ReSbO